Record 1
The following is a GGA-PBE calculation of crystalline Li2SiSnPd at its relaxed geometry, from Alexandria via LeMat-Bulk.

a b c (Å): 4.581 4.581 5.059
angles (deg): 90.00 90.00 90.00
Space group P4/mmm (No. 123)
Asymmetric unit:
Li1 0.000 0.500 0.000 (multiplicity 2)
Si1 0.000 0.000 0.500 (multiplicity 1)
Sn1 0.500 0.500 0.500 (multiplicity 1)
Pd1 0.500 0.500 0.000 (multiplicity 1)

Calculated values
The formation energy (no corrections) comes out at 0.13 eV per atom. For the total DFT energy (no corrections), the calculation gives -3.56 eV per atom.


Record 2
The following is a GGA-PBE calculation of crystalline SrLi2SiPd2 at its relaxed geometry, from Alexandria via LeMat-Bulk.

a b c (Å): 4.680 4.680 6.124
angles (deg): 90.00 90.00 90.00
Space group P4/mmm (No. 123)
Asymmetric unit:
Sr1 0.000 0.000 0.000 (multiplicity 1)
Li1 0.500 0.500 0.286 (multiplicity 2)
Si1 0.000 0.000 0.500 (multiplicity 1)
Pd1 0.000 0.500 0.500 (multiplicity 2)

Calculated values
The formation energy (no corrections) comes out at -0.42 eV per atom. For the total DFT energy (no corrections), the calculation gives -3.97 eV per atom.


Record 3
The following is a GGA-PBE calculation of crystalline SrLiSiPd2 at its relaxed geometry, from Alexandria via LeMat-Bulk.

a b c (Å): 4.721 4.721 4.707
angles (deg): 90.00 90.00 90.00
Space group P4/mmm (No. 123)
Asymmetric unit:
Sr1 0.000 0.000 0.000 (multiplicity 1)
Li1 0.500 0.500 0.000 (multiplicity 1)
Si1 0.500 0.500 0.500 (multiplicity 1)
Pd1 0.000 0.500 0.500 (multiplicity 2)

Calculated values
The formation energy (no corrections) comes out at -0.49 eV per atom. For the total DFT energy (no corrections), the calculation gives -4.37 eV per atom.


Record 4
The following is a GGA-PBE calculation of crystalline SrLiSi2Pd5 at its relaxed geometry, from Alexandria via LeMat-Bulk.

a b c (Å): 4.702 4.702 7.166
angles (deg): 90.00 90.00 90.00
Space group P4/mmm (No. 123)
Asymmetric unit:
Sr1 0.000 0.000 0.000 (multiplicity 1)
Li1 0.000 0.000 0.500 (multiplicity 1)
Si1 0.500 0.500 0.341 (multiplicity 2)
Pd1 0.000 0.500 0.284 (multiplicity 4)
Pd2 0.500 0.500 0.000 (multiplicity 1)

Calculated values
The formation energy (no corrections) comes out at -0.55 eV per atom. For the total DFT energy (no corrections), the calculation gives -5.03 eV per atom.


Record 5
The following is a GGA-PBE calculation of crystalline Sr2LiSi3Pd4 at its relaxed geometry, from Alexandria via LeMat-Bulk.

a b c (Å): 4.360 4.360 9.967
angles (deg): 90.00 90.00 90.00
Space group P-4m2 (No. 115)
Asymmetric unit:
Sr1 0.000 0.500 0.248 (multiplicity 2)
Li1 0.500 0.500 0.000 (multiplicity 1)
Si1 0.000 0.000 0.000 (multiplicity 1)
Si2 0.000 0.500 0.621 (multiplicity 2)
Pd1 0.000 0.000 0.500 (multiplicity 1)
Pd2 0.000 0.500 0.869 (multiplicity 2)
Pd3 0.500 0.500 0.500 (multiplicity 1)

Calculated values
The formation energy (no corrections) comes out at -0.72 eV per atom. For the total DFT energy (no corrections), the calculation gives -4.95 eV per atom.


Record 6
The following is a GGA-PBE calculation of crystalline SrLiSiPd3 at its relaxed geometry, from Alexandria via LeMat-Bulk.

a b c (Å): 6.598 11.483 6.005
angles (deg): 90.00 90.00 90.00
Space group Cmcm (No. 63)
Asymmetric unit:
Sr1 0.000 0.215 0.250 (multiplicity 4)
Li1 0.000 0.463 0.250 (multiplicity 4)
Si1 0.000 0.112 0.750 (multiplicity 4)
Pd1 0.000 0.318 0.750 (multiplicity 4)
Pd2 0.215 0.000 0.000 (multiplicity 8)

Calculated values
The formation energy (no corrections) comes out at -0.52 eV per atom. For the total DFT energy (no corrections), the calculation gives -4.62 eV per atom.


> Look up the formation energy (no corrections) of the first one.

0.13 eV per atom